Compound: Li4CoOF4
Source: Alexandria
Functional: GGA+U
Structure: relaxed

abc: 10.7303 10.7303 10.7303
angles: 164.39 164.39 22.15
Closest atoms and distances in Å follow each position.
Atoms (fractional coordinates):
Li: 0.1033 0.1033 0.0000  5 F 2.06-2.07, 1 O 2.18
Li: 0.2977 0.2977 0.0000  6 F 2.02-2.06
Li: 0.7023 0.7023 0.0000  6 F 2.02-2.06
Li: 0.8967 0.8967 0.0000  5 F 2.06-2.07, 1 O 2.18
Co: 0.5000 0.5000 0.0000  4 O 2.06, 2 F 2.24
O: 0.0000 0.0000 0.0000  4 Co 2.06, 2 Li 2.18
F: 0.2016 0.2016 0.0000  6 Li 2.02-2.07
F: 0.3937 0.3937 0.0000  5 Li 2.02-2.06, 1 Co 2.24
F: 0.6063 0.6063 0.0000  5 Li 2.02-2.06, 1 Co 2.24
F: 0.7984 0.7984 0.0000  6 Li 2.02-2.07

Volume   8.9 Å³ per atom
Calculated total energy   -0.18514 Ha/atom